LaCoSn2Pb after structural relaxation. Source: the Alexandria database, functional PBE-GGA.

Calculated values
The calculation puts the total moment at 0.00 Bohr magnetons per cell. Its density is 8.3 g cm⁻³. The formation energy comes out at -1.76 eV/f.u.

```
data_LaCoSn2Pb
_cell_length_a 5.008
_cell_length_b 5.008
_cell_length_c 5.125
_cell_angle_alpha 90.00
_cell_angle_beta 90.00
_cell_angle_gamma 90.00
_space_group_name_H-M_alt 'P 4/m m m'
_space_group_IT_number 123
_space_group_name_Hall '-P 4 2'
loop_
_atom_site_label
_atom_site_type_symbol
_atom_site_fract_x
_atom_site_fract_y
_atom_site_fract_z
La1 La 0.000 0.000 0.000
Co1 Co 0.000 0.000 0.500
Sn1 Sn 0.000 0.500 0.500
Pb1 Pb 0.500 0.500 0.000
```